This record from Alexandria describes a geometry-optimized HfCuPt2 structure. The functional is PBE.

Unit cell a=7.0777 b=7.0777 c=5.5670 alpha=90.00 beta=90.00 gamma=90.00
Last column: nearest neighbours and their distance in Å.
Space group I-42d (No. 122)
Inequivalent atoms, fractional coordinates:
Hf 0.0000 0.0000 0.0000 (multiplicity 4)  4 Pt 2.64, 2 Cu 2.78
Cu 0.0000 0.0000 0.5000 (multiplicity 4)  4 Pt 2.55, 2 Hf 2.78
Pt 0.2410 0.7500 0.6250 (multiplicity 8)  2 Cu 2.55, 2 Hf 2.64, 2 Pt 2.79

Results
Calculated volume in Å³ per cell: 278.9
Energy in eV per atom: -6.944
Formation energy in eV per atom: -0.411
Total magnetic moment in μB per formula unit: 0.0